Computed, not measured: a geometry-optimized BaNaTlCd2 structure at the PBEsol level of DFT.

Output
D(E_F): 3.8 states/eV/cell
Energy of formation from the pure elements: 0.09 eV per atom
Crystal system: tetragonal
Volume: 161.6 Å³ per cell

Structure (CIF):
```
data_BaNaTlCd2
_cell_length_a 5.413
_cell_length_b 5.413
_cell_length_c 5.515
_cell_angle_alpha 90.00
_cell_angle_beta 90.00
_cell_angle_gamma 90.00
_space_group_name_H-M_alt 'P 1'
_space_group_IT_number 1
_space_group_name_Hall 'P 1'
loop_
_atom_site_label
_atom_site_type_symbol
_atom_site_fract_x
_atom_site_fract_y
_atom_site_fract_z
_atom_site_occupancy
Na1 Na 0.000 0.000 0.000 1
Cd1 Cd 0.000 0.500 0.000 1
Cd2 Cd 0.500 0.000 0.000 1
Tl1 Tl 0.000 0.000 0.500 1
Ba1 Ba 0.500 0.500 0.500 1
```


Computed, not measured: a geometry-optimized Li5Mg structure at the PBEsol level of DFT.

Output
D(E_F): 2.8 states/eV/cell
Energy of formation from the pure elements: -0.01 eV per atom
Crystal system: hexagonal
Volume: 121.8 Å³ per cell
Offset from the most stable computed form: 14.5 meV/atom

Structure (CIF):
```
data_Li5Mg
_cell_length_a 3.077
_cell_length_b 3.077
_cell_length_c 14.861
_cell_angle_alpha 90.00
_cell_angle_beta 90.00
_cell_angle_gamma 120.00
_space_group_name_H-M_alt 'P 1'
_space_group_IT_number 1
_space_group_name_Hall 'P 1'
loop_
_atom_site_label
_atom_site_type_symbol
_atom_site_fract_x
_atom_site_fract_y
_atom_site_fract_z
_atom_site_occupancy
Li1 Li 0.333 0.667 0.500 1
Li2 Li 0.333 0.667 0.831 1
Li3 Li 0.333 0.667 0.169 1
Li4 Li 0.000 0.000 0.335 1
Li5 Li 0.000 0.000 0.665 1
Mg1 Mg 0.000 0.000 0.000 1
```


Computed, not measured: a geometry-optimized BaTaPIr2 structure at the PBEsol level of DFT.

Output
D(E_F): 5.5 states/eV/cell
Energy of formation from the pure elements: 0.35 eV per atom
Crystal system: tetragonal
Volume: 98.2 Å³ per cell

Structure (CIF):
```
data_BaTaPIr2
_cell_length_a 4.564
_cell_length_b 4.564
_cell_length_c 4.713
_cell_angle_alpha 90.00
_cell_angle_beta 90.00
_cell_angle_gamma 90.00
_space_group_name_H-M_alt 'P 1'
_space_group_IT_number 1
_space_group_name_Hall 'P 1'
loop_
_atom_site_label
_atom_site_type_symbol
_atom_site_fract_x
_atom_site_fract_y
_atom_site_fract_z
_atom_site_occupancy
Ba1 Ba 0.500 0.500 0.500 1
Ir1 Ir 0.500 0.000 0.000 1
Ir2 Ir 0.000 0.500 0.000 1
Ta1 Ta 0.000 0.000 0.500 1
P1 P 0.000 0.000 0.000 1
```


Computed, not measured: a geometry-optimized Ba2LiCa structure at the PBEsol level of DFT.

Output
D(E_F): 5.0 states/eV/cell
Energy of formation from the pure elements: 0.08 eV per atom
Crystal system: orthorhombic
Volume: 177.5 Å³ per cell
Offset from the most stable computed form: 48.3 meV/atom

Structure (CIF):
```
data_Ba2LiCa
_cell_length_a 4.602
_cell_length_b 6.322
_cell_length_c 7.245
_cell_angle_alpha 115.87
_cell_angle_beta 108.52
_cell_angle_gamma 90.00
_space_group_name_H-M_alt 'P 1'
_space_group_IT_number 1
_space_group_name_Hall 'P 1'
loop_
_atom_site_label
_atom_site_type_symbol
_atom_site_fract_x
_atom_site_fract_y
_atom_site_fract_z
_atom_site_occupancy
Li1 Li 0.000 0.500 0.000 1
Ba1 Ba 0.275 0.275 0.551 1
Ba2 Ba 0.725 0.725 0.449 1
Ca1 Ca 0.500 0.000 0.000 1
```


Computed, not measured: a geometry-optimized GdGaI structure at the PBEsol level of DFT.

Output
D(E_F): 1.8 states/eV/cell
Formation energy (no corrections): -1090 meV/atom
Crystal system: trigonal
Volume: 171.1 Å³ per cell

Structure (CIF):
```
data_GdGaI
_cell_length_a 4.154
_cell_length_b 4.154
_cell_length_c 11.449
_cell_angle_alpha 90.00
_cell_angle_beta 90.00
_cell_angle_gamma 120.00
_space_group_name_H-M_alt 'P 1'
_space_group_IT_number 1
_space_group_name_Hall 'P 1'
loop_
_atom_site_label
_atom_site_type_symbol
_atom_site_fract_x
_atom_site_fract_y
_atom_site_fract_z
_atom_site_occupancy
I1 I 0.333 0.667 0.349 1
I2 I 0.667 0.333 0.651 1
Gd1 Gd 0.000 0.000 0.175 1
Gd2 Gd 0.000 0.000 0.825 1
Ga1 Ga 0.667 0.333 0.026 1
Ga2 Ga 0.333 0.667 0.974 1
```


Computed, not measured: a geometry-optimized TaCrC2S structure at the PBEsol level of DFT.

Output
D(E_F): 4.8 states/eV/cell
Formation energy (no corrections): 1871 meV/atom
Crystal system: tetragonal
Volume: 88.3 Å³ per cell

Structure (CIF):
```
data_TaCrC2S
_cell_length_a 3.908
_cell_length_b 3.908
_cell_length_c 5.781
_cell_angle_alpha 90.00
_cell_angle_beta 90.00
_cell_angle_gamma 90.00
_space_group_name_H-M_alt 'P 1'
_space_group_IT_number 1
_space_group_name_Hall 'P 1'
loop_
_atom_site_label
_atom_site_type_symbol
_atom_site_fract_x
_atom_site_fract_y
_atom_site_fract_z
_atom_site_occupancy
C1 C 0.500 0.000 0.000 1
C2 C 0.000 0.500 0.000 1
Cr1 Cr 0.000 0.000 0.500 1
Ta1 Ta 0.000 0.000 0.000 1
S1 S 0.500 0.500 0.500 1
```


Computed, not measured: a geometry-optimized KNiMo3 structure at the PBEsol level of DFT.

Output
D(E_F): 4.1 states/eV/cell
Energy of formation from the pure elements: 3.11 eV per atom
Crystal system: cubic
Volume: 81.6 Å³ per cell

Structure (CIF):
```
data_KNiMo3
_cell_length_a 4.337
_cell_length_b 4.337
_cell_length_c 4.337
_cell_angle_alpha 90.00
_cell_angle_beta 90.00
_cell_angle_gamma 90.00
_space_group_name_H-M_alt 'P 1'
_space_group_IT_number 1
_space_group_name_Hall 'P 1'
loop_
_atom_site_label
_atom_site_type_symbol
_atom_site_fract_x
_atom_site_fract_y
_atom_site_fract_z
_atom_site_occupancy
Mo1 Mo 0.500 0.000 0.000 1
Mo2 Mo 0.000 0.000 0.500 1
Mo3 Mo 0.000 0.500 0.000 1
K1 K 0.000 0.000 0.000 1
Ni1 Ni 0.500 0.500 0.500 1
```


Computed, not measured: a geometry-optimized GdCO4 structure at the PBEsol level of DFT.

Output
D(E_F): 8.3 states/eV/cell
Formation energy (no corrections): -1978 meV/atom
Crystal system: orthorhombic
Volume: 276.0 Å³ per cell

Structure (CIF):
```
data_GdCO4
_cell_length_a 4.843
_cell_length_b 7.181
_cell_length_c 7.937
_cell_angle_alpha 90.00
_cell_angle_beta 90.00
_cell_angle_gamma 90.00
_space_group_name_H-M_alt 'P 1'
_space_group_IT_number 1
_space_group_name_Hall 'P 1'
loop_
_atom_site_label
_atom_site_type_symbol
_atom_site_fract_x
_atom_site_fract_y
_atom_site_fract_z
_atom_site_occupancy
O1 O 0.500 0.948 0.316 1
O2 O 0.000 0.052 0.816 1
O3 O 0.269 0.604 0.381 1
O4 O 0.500 0.291 0.592 1
O5 O 0.731 0.104 0.119 1
O6 O 0.500 0.791 0.908 1
O7 O 0.000 0.209 0.408 1
O8 O 0.500 0.448 0.184 1
O9 O 0.231 0.896 0.619 1
O10 O 0.000 0.709 0.092 1
O11 O 0.731 0.604 0.381 1
O12 O 0.769 0.396 0.881 1
O13 O 0.000 0.552 0.684 1
O14 O 0.269 0.104 0.119 1
O15 O 0.769 0.896 0.619 1
O16 O 0.231 0.396 0.881 1
Gd1 Gd 0.500 0.606 0.671 1
Gd2 Gd 0.000 0.894 0.329 1
Gd3 Gd 0.500 0.106 0.829 1
Gd4 Gd 0.000 0.394 0.171 1
C1 C 0.500 0.555 0.312 1
C2 C 0.000 0.945 0.688 1
C3 C 0.500 0.055 0.188 1
C4 C 0.000 0.445 0.812 1
```


Computed, not measured: a geometry-optimized LaCd2Rh structure at the PBEsol level of DFT.

Output
D(E_F): 1.6 states/eV/cell
Energy of formation from the pure elements: -0.28 eV per atom
Crystal system: tetragonal
Volume: 86.7 Å³ per cell

Structure (CIF):
```
data_LaCd2Rh
_cell_length_a 4.032
_cell_length_b 4.032
_cell_length_c 5.332
_cell_angle_alpha 90.00
_cell_angle_beta 90.00
_cell_angle_gamma 90.00
_space_group_name_H-M_alt 'P 1'
_space_group_IT_number 1
_space_group_name_Hall 'P 1'
loop_
_atom_site_label
_atom_site_type_symbol
_atom_site_fract_x
_atom_site_fract_y
_atom_site_fract_z
_atom_site_occupancy
La1 La 0.500 0.500 0.500 1
Cd1 Cd 0.500 0.000 0.000 1
Cd2 Cd 0.000 0.500 0.000 1
Rh1 Rh 0.000 0.000 0.500 1
```


Computed, not measured: a geometry-optimized ZnFeCu4Ge2S8 structure at the PBEsol level of DFT.

Output
D(E_F): 1.7 states/eV/cell
Formation energy (no corrections): -410 meV/atom
Crystal system: orthorhombic
Volume: 287.0 Å³ per cell

Structure (CIF):
```
data_ZnFeCu4Ge2S8
_cell_length_a 6.405
_cell_length_b 6.405
_cell_length_c 7.412
_cell_angle_alpha 90.00
_cell_angle_beta 90.00
_cell_angle_gamma 109.32
_space_group_name_H-M_alt 'P 1'
_space_group_IT_number 1
_space_group_name_Hall 'P 1'
loop_
_atom_site_label
_atom_site_type_symbol
_atom_site_fract_x
_atom_site_fract_y
_atom_site_fract_z
_atom_site_occupancy
Cu1 Cu 0.499 0.999 0.247 1
Cu2 Cu 0.001 0.501 0.247 1
Cu3 Cu 0.499 0.999 0.753 1
Cu4 Cu 0.001 0.501 0.753 1
S1 S 0.626 0.886 0.500 1
S2 S 0.122 0.371 0.000 1
S3 S 0.127 0.873 0.754 1
S4 S 0.628 0.372 0.756 1
S5 S 0.628 0.372 0.244 1
S6 S 0.629 0.878 0.000 1
S7 S 0.127 0.873 0.246 1
S8 S 0.114 0.374 0.500 1
Zn1 Zn 0.499 0.501 0.500 1
Ge1 Ge 0.497 0.503 0.000 1
Ge2 Ge 0.003 0.997 0.500 1
Fe1 Fe 0.002 0.998 0.000 1
```


Computed, not measured: a geometry-optimized Co2HgSe structure at the PBEsol level of DFT.

Output
D(E_F): 6.0 states/eV/cell
Formation energy (no corrections): 412 meV/atom
Crystal system: tetragonal
Volume: 57.3 Å³ per cell
Offset from the most stable computed form: 218.9 meV/atom

Structure (CIF):
```
data_Co2HgSe
_cell_length_a 3.060
_cell_length_b 4.326
_cell_length_c 4.328
_cell_angle_alpha 90.00
_cell_angle_beta 90.00
_cell_angle_gamma 90.00
_space_group_name_H-M_alt 'P 1'
_space_group_IT_number 1
_space_group_name_Hall 'P 1'
loop_
_atom_site_label
_atom_site_type_symbol
_atom_site_fract_x
_atom_site_fract_y
_atom_site_fract_z
_atom_site_occupancy
Se1 Se 0.500 0.000 0.500 1
Co1 Co 0.000 0.000 0.000 1
Co2 Co 0.000 0.500 0.500 1
Hg1 Hg 0.500 0.500 0.000 1
```


Computed, not measured: a geometry-optimized TaFe4Re structure at the PBEsol level of DFT.

Output
D(E_F): 8.7 states/eV/cell
Energy of formation from the pure elements: -0.13 eV per atom
Crystal system: cubic
Volume: 71.7 Å³ per cell

Structure (CIF):
```
data_TaFe4Re
_cell_length_a 4.662
_cell_length_b 4.662
_cell_length_c 4.662
_cell_angle_alpha 60.00
_cell_angle_beta 60.00
_cell_angle_gamma 60.00
_space_group_name_H-M_alt 'P 1'
_space_group_IT_number 1
_space_group_name_Hall 'P 1'
loop_
_atom_site_label
_atom_site_type_symbol
_atom_site_fract_x
_atom_site_fract_y
_atom_site_fract_z
_atom_site_occupancy
Fe1 Fe 0.875 0.375 0.375 1
Fe2 Fe 0.375 0.375 0.875 1
Fe3 Fe 0.375 0.375 0.375 1
Fe4 Fe 0.375 0.875 0.375 1
Re1 Re 0.750 0.750 0.750 1
Ta1 Ta 0.000 0.000 0.000 1
```